The following is a GGA-PBE calculation of a relaxed Ce2HoTaN4 crystal, from Alexandria via LeMat-Bulk.

Unit cell a=3.355 b=5.847 c=5.983 alpha=108.75 beta=90.00 gamma=90.00
Atoms (fractional coordinates):
Ho  0.500  0.500  0.000
N  0.500  0.221  0.215
N  0.000  0.235  0.778
N  0.500  0.779  0.785
N  0.000  0.765  0.222
Ta  0.000  0.000  0.000
Ce  0.500  0.000  0.500
Ce  0.000  0.500  0.500

DFT total energy = -9.181 eV per atom
Crystal system = monoclinic
M_tot = 0.0001 μB/atom

=====

The following is a GGA-PBE calculation of a relaxed TbCeHoN3 crystal, from Alexandria via LeMat-Bulk.

Unit cell a=3.460 b=6.018 c=9.093 alpha=101.55 beta=90.00 gamma=90.00
Site moments in Bohr magnetons follow the coordinates.
Atoms (fractional coordinates):
Tb  0.250  0.147  0.639  0.15
Tb  0.750  0.853  0.361  0.15
Ho  0.750  0.229  0.955  0.07
Ho  0.250  0.771  0.045  0.07
N  0.250  0.741  0.503  -0.04
N  0.750  0.259  0.497  -0.04
N  0.750  0.036  0.153  -0.03
N  0.250  0.964  0.847  -0.03
N  0.250  0.464  0.831  -0.03
N  0.750  0.536  0.169  -0.03
Ce  0.750  0.657  0.696  0.55
Ce  0.250  0.343  0.304  0.55

DFT total energy = -8.090 eV per atom
Crystal system = monoclinic
M_tot = 0.1405 μB/atom

=====

The following is a GGA-PBE calculation of a relaxed Tb2Ce3HoN6 crystal, from Alexandria via LeMat-Bulk.

Unit cell a=6.104 b=6.104 c=6.107 alpha=99.59 beta=99.59 gamma=119.99
Site moments in Bohr magnetons follow the coordinates.
Atoms (fractional coordinates):
N  0.917  0.586  0.751  -0.01
N  0.248  0.248  0.751  -0.01
N  0.414  0.083  0.249  -0.01
N  0.586  0.917  0.751  -0.01
N  0.083  0.414  0.249  -0.01
N  0.752  0.752  0.249  -0.01
Tb  0.333  0.667  0.000  0.01
Tb  0.667  0.333  0.000  0.01
Ce  0.500  0.500  0.500  0.22
Ce  0.167  0.833  0.500  0.22
Ce  0.833  0.167  0.500  0.22
Ho  0.000  0.000  0.000  0.01

DFT total energy = -8.389 eV per atom
Crystal system = monoclinic
M_tot = 0.0633 μB/atom

=====

The following is a GGA-PBE calculation of a relaxed TbCeHo2N4 crystal, from Alexandria via LeMat-Bulk.

Unit cell a=3.493 b=6.036 c=6.036 alpha=109.31 beta=90.00 gamma=90.00
Site moments in Bohr magnetons follow the coordinates.
Atoms (fractional coordinates):
N  0.000  0.247  0.749  0.00
N  0.000  0.753  0.251  0.00
N  0.500  0.750  0.748  0.00
N  0.500  0.250  0.252  0.00
Ho  0.500  0.000  0.500  0.00
Ho  0.000  0.500  0.500  0.00
Ce  0.000  0.000  0.000  0.11
Tb  0.500  0.500  0.000  0.01

DFT total energy = -8.286 eV per atom
Crystal system = monoclinic
M_tot = 0.0166 μB/atom

=====

The following is a GGA-PBE calculation of a relaxed TbCe2HoN4 crystal, from Alexandria via LeMat-Bulk.

Unit cell a=3.520 b=6.097 c=6.101 alpha=109.46 beta=90.00 gamma=90.00
Site moments in Bohr magnetons follow the coordinates.
Atoms (fractional coordinates):
N  0.000  0.752  0.249  -0.01
N  0.000  0.248  0.751  -0.01
N  0.500  0.247  0.248  -0.01
N  0.500  0.753  0.752  -0.01
Tb  0.500  0.500  0.000  0.01
Ce  0.000  0.500  0.500  0.24
Ce  0.500  0.000  0.500  0.20
Ho  0.000  0.000  0.000  0.01

DFT total energy = -8.392 eV per atom
Crystal system = monoclinic
M_tot = 0.0639 μB/atom

=====

The following is a GGA-PBE calculation of a relaxed TbCe3Ho2N6 crystal, from Alexandria via LeMat-Bulk.

Unit cell a=6.090 b=6.090 c=6.096 alpha=99.59 beta=99.59 gamma=119.99
Site moments in Bohr magnetons follow the coordinates.
Atoms (fractional coordinates):
Ho  0.667  0.333  0.000  0.01
Ho  0.333  0.667  0.000  0.01
N  0.419  0.083  0.248  -0.01
N  0.917  0.581  0.752  -0.01
N  0.581  0.917  0.752  -0.01
N  0.083  0.419  0.248  -0.01
N  0.254  0.254  0.753  -0.01
N  0.746  0.746  0.247  -0.01
Ce  0.500  0.500  0.500  0.23
Ce  0.833  0.167  0.500  0.23
Ce  0.167  0.833  0.500  0.23
Tb  0.000  0.000  0.000  0.01

DFT total energy = -8.394 eV per atom
Crystal system = monoclinic
M_tot = 0.0671 μB/atom

=====

The following is a GGA-PBE calculation of a relaxed CeHo2TcN4 crystal, from Alexandria via LeMat-Bulk.

Unit cell a=3.406 b=6.058 c=11.523 alpha=90.00 beta=90.00 gamma=106.33
Atoms (fractional coordinates):
N  0.000  0.000  0.000
N  0.267  0.534  0.128
N  0.547  0.095  0.250
N  0.000  0.000  0.500
N  0.453  0.905  0.750
N  0.733  0.466  0.872
N  0.733  0.466  0.628
N  0.267  0.534  0.372
Ho  0.631  0.261  0.458
Ho  0.631  0.261  0.042
Ho  0.369  0.739  0.542
Ho  0.369  0.739  0.958
Tc  0.856  0.712  0.750
Tc  0.144  0.288  0.250
Ce  0.886  0.772  0.250
Ce  0.114  0.228  0.750

DFT total energy = -8.472 eV per atom
Crystal system = orthorhombic
M_tot = 0.0004 μB/atom

=====

The following is a GGA-PBE calculation of a relaxed Ce2HoThN4 crystal, from Alexandria via LeMat-Bulk.

Unit cell a=3.568 b=6.178 c=6.181 alpha=109.31 beta=90.00 gamma=90.00
Atoms (fractional coordinates):
Ce  0.000  0.500  0.500
Ce  0.500  0.000  0.500
Ho  0.000  0.000  0.000
Th  0.500  0.500  0.000
N  0.000  0.244  0.752
N  0.000  0.756  0.248
N  0.500  0.245  0.247
N  0.500  0.755  0.753

DFT total energy = -8.716 eV per atom
Crystal system = monoclinic
M_tot = 0.0050 μB/atom